## NaGa2F2 (PBE)

Data for a geometry-optimized NaGa2F2 structure.

Excess energy over the best structure of this formula in the dataset = 0.0 meV per atom
Theoretical density = 3.58 g/cm3
Total DFT energy (no corrections) = -3.463 eV per atom
Uncorrected formation energy = -1239.6 meV per atom
SG = No. 139

Lattice parameters (Å, degrees): 7.0647 7.0647 7.0647 149.05 149.05 44.34
Fractional coordinates of all 5 atoms:
Na: 0.0000 0.0000 0.0000
Ga: 0.3552 0.3552 0.0000
Ga: 0.6448 0.6448 0.0000
F: 0.2500 0.7500 0.5000
F: 0.7500 0.2500 0.5000


## KGaH2 (PBE)

Data for a geometry-optimized KGaH2 structure.

Excess energy over the best structure of this formula in the dataset = 0.0 meV per atom
Theoretical density = 2.60 g/cm3
Total DFT energy (no corrections) = -2.749 eV per atom
SG = No. 14

Lattice parameters (Å, degrees): 6.5778 8.0645 5.4817 90.00 103.50 90.00
Fractional coordinates of all 16 atoms:
K: 0.2294 0.1145 0.4125
K: 0.2294 0.3855 0.9125
K: 0.7706 0.6145 0.0875
K: 0.7706 0.8855 0.5875
Ga: 0.2756 0.6335 0.4388
Ga: 0.2756 0.8665 0.9388
Ga: 0.7244 0.1335 0.0612
Ga: 0.7244 0.3665 0.5612
H: 0.0979 0.7040 0.8950
H: 0.0979 0.7960 0.3950
H: 0.4167 0.7433 0.7341
H: 0.4167 0.7567 0.2341
H: 0.5833 0.2433 0.7659
H: 0.5833 0.2567 0.2659
H: 0.9021 0.2040 0.6050
H: 0.9021 0.2960 0.1050


## Li11Hg9Pd4 (PBE)

Data for a geometry-optimized Li11Hg9Pd4 structure.

Theoretical density = 9.07 g/cm3
Total DFT energy (no corrections) = -2.216 eV per atom
Energy of formation from the pure elements = -0.360 eV/atom
SG = No. 65

Lattice parameters (Å, degrees): 12.1663 12.1663 3.0836 90.00 90.00 112.30
Fractional coordinates of all 24 atoms:
Li: 0.0000 0.0000 0.0000
Li: 0.0622 0.4116 0.0000
Li: 0.1621 0.8379 0.0000
Li: 0.2928 0.2928 0.0000
Li: 0.3700 0.6300 0.0000
Li: 0.4116 0.0622 0.0000
Li: 0.5884 0.9378 0.0000
Li: 0.6300 0.3700 0.0000
Li: 0.7072 0.7072 0.0000
Li: 0.8379 0.1621 0.0000
Li: 0.9378 0.5884 0.0000
Hg: 0.0585 0.2166 0.5000
Hg: 0.1503 0.6246 0.5000
Hg: 0.2166 0.0585 0.5000
Hg: 0.3754 0.8497 0.5000
Hg: 0.5000 0.5000 0.5000
Hg: 0.6246 0.1503 0.5000
Hg: 0.7834 0.9415 0.5000
Hg: 0.8497 0.3754 0.5000
Hg: 0.9415 0.7834 0.5000
Pd: 0.2510 0.4471 0.5000
Pd: 0.4471 0.2510 0.5000
Pd: 0.5529 0.7490 0.5000
Pd: 0.7490 0.5529 0.5000


## SbPd2F (PBE)

Data for a geometry-optimized SbPd2F structure.

Excess energy over the best structure of this formula in the dataset = 91.4 meV per atom
Theoretical density = 8.82 g/cm3
Total DFT energy (no corrections) = -4.646 eV per atom
Uncorrected formation energy = -550.9 meV per atom
SG = No. 122

Lattice parameters (Å, degrees): 5.6208 5.6208 5.6208 104.49 104.49 119.97
Fractional coordinates of all 8 atoms:
Sb: 0.0000 0.0000 0.0000
Sb: 0.7500 0.2500 0.5000
Pd: 0.1463 0.1250 0.5213
Pd: 0.3750 0.8537 0.9787
Pd: 0.6037 0.6250 0.4787
Pd: 0.8750 0.3963 0.0213
F: 0.2500 0.7500 0.5000
F: 0.5000 0.5000 0.0000


## NiAs2Pb (PBE)

Data for a geometry-optimized NiAs2Pb structure.

Theoretical density = 7.77 g/cm3
Total DFT energy (no corrections) = -4.636 eV per atom
Energy of formation from the pure elements = 0.061 eV/atom
SG = No. 6

Lattice parameters (Å, degrees): 4.0756 4.0268 5.4135 90.00 90.87 90.00
Fractional coordinates of all 4 atoms:
Ni: 0.0000 0.0000 0.0000
As: 0.0672 0.5000 0.7664
As: 0.5053 0.0000 0.7735
Pb: 0.5737 0.5000 0.2717


## Tb3PrDy7 (PBE)

Data for a geometry-optimized Tb3PrDy7 structure.

Excess energy over the best structure of this formula in the dataset = 49.6 meV per atom
Theoretical density = 7.81 g/cm3
Total DFT energy (no corrections) = -4.434 eV per atom
Energy of formation from the pure elements = 0.192 eV/atom
SG = No. 156

Lattice parameters (Å, degrees): 7.0670 7.0670 8.6242 90.00 90.00 120.00
Fractional coordinates of all 11 atoms:
Tb: 0.0012 0.5006 0.0000
Tb: 0.4994 0.5006 0.0000
Tb: 0.4994 0.9988 0.0000
Pr: 0.6667 0.3333 0.3389
Dy: 0.1679 0.3358 0.3362
Dy: 0.1679 0.8321 0.3362
Dy: 0.3333 0.6667 0.6648
Dy: 0.3351 0.1675 0.6686
Dy: 0.6642 0.8321 0.3362
Dy: 0.8325 0.1675 0.6686
Dy: 0.8325 0.6649 0.6686


## CuOsAu3 (PBE)

Data for a geometry-optimized CuOsAu3 structure.

Excess energy over the best structure of this formula in the dataset = 17.7 meV per atom
Theoretical density = 10.98 g/cm3
Total DFT energy (no corrections) = -3.570 eV per atom
Energy of formation from the pure elements = 1.462 eV/atom
SG = No. 221

Lattice parameters (Å, degrees): 5.0363 5.0363 5.0363 90.00 90.00 90.00
Fractional coordinates of all 5 atoms:
Cu: 0.0000 0.0000 0.0000
Os: 0.5000 0.5000 0.5000
Au: 0.0000 0.5000 0.5000
Au: 0.5000 0.0000 0.5000
Au: 0.5000 0.5000 0.0000


## MgCuHg3 (PBE)

Data for a geometry-optimized MgCuHg3 structure.

Excess energy over the best structure of this formula in the dataset = 0.0 meV per atom
Theoretical density = 8.65 g/cm3
Total DFT energy (no corrections) = -1.128 eV per atom
Energy of formation from the pure elements = 0.191 eV/atom
SG = No. 221

Lattice parameters (Å, degrees): 5.0974 5.0974 5.0974 90.00 90.00 90.00
Fractional coordinates of all 5 atoms:
Mg: 0.0000 0.0000 0.0000
Cu: 0.5000 0.5000 0.5000
Hg: 0.0000 0.5000 0.5000
Hg: 0.5000 0.0000 0.5000
Hg: 0.5000 0.5000 0.0000


## Cs2CrFeS4 (PBE)

Data for a geometry-optimized Cs2CrFeS4 structure.

Theoretical density = 3.43 g/cm3
Total DFT energy (no corrections) = -5.505 eV per atom
Uncorrected formation energy = -966.8 meV per atom
SG = No. 70

Lattice parameters (Å, degrees): 14.3920 12.8274 7.5899 85.58 62.70 31.72
Fractional coordinates of all 16 atoms:
Cs: 0.0508 0.0508 0.6992
Cs: 0.3008 0.3008 0.9492
Cs: 0.6992 0.6992 0.0508
Cs: 0.9492 0.9492 0.3008
Cr: 0.1250 0.1250 0.1250
Cr: 0.8750 0.8750 0.8750
Fe: 0.3750 0.3750 0.3750
Fe: 0.6250 0.6250 0.6250
S: 0.0192 0.3283 0.4056
S: 0.2531 0.5944 0.6717
S: 0.3283 0.0192 0.7469
S: 0.4056 0.7469 0.0192
S: 0.5944 0.2531 0.9808
S: 0.6717 0.9808 0.2531
S: 0.7469 0.4056 0.3283
S: 0.9808 0.6717 0.5944


## BaNa2TeRh (PBE)

Data for a geometry-optimized BaNa2TeRh structure.

Theoretical density = 2.39 g/cm3
Total DFT energy (no corrections) = -2.018 eV per atom
Uncorrected formation energy = 992.9 meV per atom
SG = No. 123

Lattice parameters (Å, degrees): 6.7984 6.7984 6.2257 90.00 90.00 90.00
Fractional coordinates of all 5 atoms:
Ba: 0.0000 0.0000 0.0000
Na: 0.0000 0.5000 0.0000
Na: 0.5000 0.0000 0.0000
Te: 0.0000 0.0000 0.5000
Rh: 0.5000 0.5000 0.5000


## KTi5S8 (PBE)

Data for a geometry-optimized KTi5S8 structure.

Theoretical density = 3.37 g/cm3
Total DFT energy (no corrections) = -6.696 eV per atom
Uncorrected formation energy = -1439.2 meV per atom
SG = No. 8

Lattice parameters (Å, degrees): 9.0636 9.0636 8.9308 104.58 104.58 21.85
Fractional coordinates of all 14 atoms:
K: 0.0000 0.0000 0.0000
Ti: 0.1629 0.1629 0.4932
Ti: 0.2077 0.2077 0.8489
Ti: 0.4999 0.4999 0.4993
Ti: 0.7922 0.7922 0.1497
Ti: 0.8371 0.8371 0.5055
S: 0.0765 0.0765 0.6641
S: 0.2568 0.2568 0.3292
S: 0.3386 0.3386 0.0040
S: 0.4124 0.4124 0.6724
S: 0.5876 0.5876 0.3264
S: 0.6612 0.6612 0.9946
S: 0.7431 0.7431 0.6695
S: 0.9234 0.9234 0.3345


## ZnCrTe2 (PBE)

Data for a geometry-optimized ZnCrTe2 structure.

Theoretical density = 6.11 g/cm3
Total DFT energy (no corrections) = -4.106 eV per atom
Uncorrected formation energy = 188.8 meV per atom
SG = No. 10

Lattice parameters (Å, degrees): 4.5745 3.9767 5.7940 90.00 106.18 90.00
Fractional coordinates of all 4 atoms:
Zn: 0.0000 0.0000 0.0000
Cr: 0.5000 0.0000 0.5000
Te: 0.2767 0.5000 0.7337
Te: 0.7233 0.5000 0.2663


Repeat the ninth record exactly.
## Cs2CrFeS4 (PBE)

Data for a geometry-optimized Cs2CrFeS4 structure.

Theoretical density = 3.43 g/cm3
Total DFT energy (no corrections) = -5.505 eV per atom
Uncorrected formation energy = -966.8 meV per atom
SG = No. 70

Lattice parameters (Å, degrees): 14.3920 12.8274 7.5899 85.58 62.70 31.72
Fractional coordinates of all 16 atoms:
Cs: 0.0508 0.0508 0.6992
Cs: 0.3008 0.3008 0.9492
Cs: 0.6992 0.6992 0.0508
Cs: 0.9492 0.9492 0.3008
Cr: 0.1250 0.1250 0.1250
Cr: 0.8750 0.8750 0.8750
Fe: 0.3750 0.3750 0.3750
Fe: 0.6250 0.6250 0.6250
S: 0.0192 0.3283 0.4056
S: 0.2531 0.5944 0.6717
S: 0.3283 0.0192 0.7469
S: 0.4056 0.7469 0.0192
S: 0.5944 0.2531 0.9808
S: 0.6717 0.9808 0.2531
S: 0.7469 0.4056 0.3283
S: 0.9808 0.6717 0.5944


- Among the records above, which one has the lowest theoretical density?
  BaNa2TeRh


- theoretical density of number 9 (Cs2CrFeS4)?
  3.43 g/cm3


What did the fourth record say?
## SbPd2F (PBE)

Data for a geometry-optimized SbPd2F structure.

Excess energy over the best structure of this formula in the dataset = 91.4 meV per atom
Theoretical density = 8.82 g/cm3
Total DFT energy (no corrections) = -4.646 eV per atom
Uncorrected formation energy = -550.9 meV per atom
SG = No. 122

Lattice parameters (Å, degrees): 5.6208 5.6208 5.6208 104.49 104.49 119.97
Fractional coordinates of all 8 atoms:
Sb: 0.0000 0.0000 0.0000
Sb: 0.7500 0.2500 0.5000
Pd: 0.1463 0.1250 0.5213
Pd: 0.3750 0.8537 0.9787
Pd: 0.6037 0.6250 0.4787
Pd: 0.8750 0.3963 0.0213
F: 0.2500 0.7500 0.5000
F: 0.5000 0.5000 0.0000